Below is crystalline Mn2ZnPbCl8 at its relaxed geometry, with properties calculated at the GGA-PBE level.

Values from the calculation:
Formation energy (no corrections) = -1.0395 eV/atom
M_tot = 10.00 Bohr magnetons per cell

a b c (Å): 6.0555 7.8305 6.3354
angles (deg): 90.00 91.64 90.00
Closest atoms and distances in Å follow each position.
Space group P2/m (No. 10)
Inequivalent atoms, fractional coordinates:
Mn 0.0000 0.2363 0.0000  6 Cl 2.54-2.59
Zn 0.5000 0.0000 0.5000  4 Cl 2.44
Pb 0.5000 0.5000 0.5000  6 Cl 2.84-2.91
Cl 0.2050 0.5000 0.8549  2 Mn 2.59
Cl 0.2235 0.0000 0.8349  2 Mn 2.54, 1 Zn 2.74
Cl 0.2660 0.2158 0.3272  1 Zn 2.44, 1 Mn 2.59

Below is crystalline MnPdCl2 at its relaxed geometry, with properties calculated at the GGA-PBE level.

Values from the calculation:
Formation energy (no corrections) = 0.2526 eV/atom
M_tot = 0.03 Bohr magnetons per cell
Polymorph energy (0 for the lowest one) = 0.592 eV per atom

a b c (Å): 5.6230 5.6230 9.9091
angles (deg): 90.00 90.00 90.00
Closest atoms and distances in Å follow each position.
Space group I-42d (No. 122)
Inequivalent atoms, fractional coordinates:
Mn 0.0000 0.0000 0.0000  4 Cl 2.18
Pd 0.0000 0.0000 0.5000  4 Cl 2.52
Cl 0.1993 0.2500 0.1250  2 Mn 2.18

Below is crystalline MnPd3Cl at its relaxed geometry, with properties calculated at the GGA-PBE level.

Values from the calculation:
Formation energy (no corrections) = 0.5329 eV/atom
M_tot = 4.47 Bohr magnetons per cell
Polymorph energy (0 for the lowest one) = 0.000 eV per atom

a b c (Å): 4.5556 4.5556 4.5556
angles (deg): 90.00 90.00 90.00
Closest atoms and distances in Å follow each position.
Space group Pm-3m (No. 221)
Inequivalent atoms, fractional coordinates:
Mn 0.0000 0.0000 0.0000  12 Pd 3.22
Pd 0.0000 0.5000 0.5000  2 Cl 2.28
Cl 0.5000 0.5000 0.5000  6 Pd 2.28

Below is crystalline MnPdCl2 at its relaxed geometry, with properties calculated at the GGA-PBE level.

Values from the calculation:
Formation energy (no corrections) = -0.0122 eV/atom
M_tot = 10.97 Bohr magnetons per cell
Polymorph energy (0 for the lowest one) = 0.327 eV per atom

a b c (Å): 3.5944 3.5944 23.4000
angles (deg): 90.00 90.00 120.00
Closest atoms and distances in Å follow each position.
Space group R-3m (No. 166, hexagonal axes)
Inequivalent atoms, fractional coordinates:
Mn 0.0000 0.0000 0.0000  2 Cl 2.22
Pd 0.0000 0.0000 0.5000  6 Cl 2.67
Cl 0.0000 0.0000 0.0950  1 Mn 2.22

Below is crystalline Mn3PdCl8 at its relaxed geometry, with properties calculated at the GGA-PBE level.

Values from the calculation:
Formation energy (no corrections) = -0.8493 eV/atom
M_tot = 34.05 Bohr magnetons per cell

a b c (Å): 7.2382 10.8224 7.3143
angles (deg): 90.00 90.00 90.00
Closest atoms and distances in Å follow each position.
Space group C222 (No. 21)
Inequivalent atoms, fractional coordinates:
Mn 0.0000 0.0000 0.0000  6 Cl 2.53-2.56
Mn 0.2500 0.2500 0.7492  6 Cl 2.52-2.58
Pd 0.0000 0.0000 0.5000  6 Cl 2.54-2.55
Cl 0.0000 0.2334 0.0000  3 Mn 2.53-2.58
Cl 0.0000 0.2344 0.5000  1 Pd 2.54, 2 Mn 2.57
Cl 0.2456 0.0175 0.7495  2 Mn 2.52-2.56, 1 Pd 2.55

Below is crystalline MnPd3Cl at its relaxed geometry, with properties calculated at the GGA-PBE level.

Values from the calculation:
Formation energy (no corrections) = 0.9051 eV/atom
M_tot = 0.00 Bohr magnetons per cell
Polymorph energy (0 for the lowest one) = 0.372 eV per atom

a b c (Å): 4.6037 4.6037 4.6037
angles (deg): 90.00 90.00 90.00
Closest atoms and distances in Å follow each position.
Space group Pm-3m (No. 221)
Inequivalent atoms, fractional coordinates:
Mn 0.0000 0.0000 0.0000  6 Pd 2.30
Pd 0.0000 0.0000 0.5000  2 Mn 2.30
Cl 0.5000 0.5000 0.5000  12 Pd 3.26

Below is crystalline MnPd2Cl8 at its relaxed geometry, with properties calculated at the GGA-PBE level.

Values from the calculation:
Formation energy (no corrections) = -0.5625 eV/atom
M_tot = 11.78 Bohr magnetons per cell

a b c (Å): 14.5259 7.3980 12.4718
angles (deg): 90.00 120.63 90.00
Closest atoms and distances in Å follow each position.
Space group C2/c (No. 15)
Inequivalent atoms, fractional coordinates:
Mn 0.0000 0.0101 0.2500  6 Cl 2.34-2.58
Pd 0.0054 0.2510 0.4974  4 Cl 2.31-2.38
Cl 0.0958 0.2154 0.7173  1 Mn 2.34, 1 Pd 2.38
Cl 0.0980 0.2371 0.2211  1 Mn 2.34, 1 Pd 2.35
Cl 0.1177 0.4466 0.0007  1 Pd 2.31
Cl 0.1276 0.0550 0.4866  1 Pd 2.35, 1 Mn 2.58

Below is crystalline MnPdCl2 at its relaxed geometry, with properties calculated at the GGA-PBE level.

Values from the calculation:
Formation energy (no corrections) = -0.3390 eV/atom
M_tot = 14.78 Bohr magnetons per cell
Polymorph energy (0 for the lowest one) = 0.000 eV per atom

a b c (Å): 3.5281 3.5281 23.1038
angles (deg): 90.00 90.00 120.00
Closest atoms and distances in Å follow each position.
Space group R-3m (No. 166, hexagonal axes)
Inequivalent atoms, fractional coordinates:
Mn 0.0000 0.0000 0.0000  6 Cl 2.52
Pd 0.0000 0.0000 0.5000  2 Cl 2.36
Cl 0.0000 0.0000 0.3976  1 Pd 2.36, 3 Mn 2.52

What did the first record say?
Below is crystalline Mn2ZnPbCl8 at its relaxed geometry, with properties calculated at the GGA-PBE level.

Values from the calculation:
Formation energy (no corrections) = -1.0395 eV/atom
M_tot = 10.00 Bohr magnetons per cell

a b c (Å): 6.0555 7.8305 6.3354
angles (deg): 90.00 91.64 90.00
Closest atoms and distances in Å follow each position.
Space group P2/m (No. 10)
Inequivalent atoms, fractional coordinates:
Mn 0.0000 0.2363 0.0000  6 Cl 2.54-2.59
Zn 0.5000 0.0000 0.5000  4 Cl 2.44
Pb 0.5000 0.5000 0.5000  6 Cl 2.84-2.91
Cl 0.2050 0.5000 0.8549  2 Mn 2.59
Cl 0.2235 0.0000 0.8349  2 Mn 2.54, 1 Zn 2.74
Cl 0.2660 0.2158 0.3272  1 Zn 2.44, 1 Mn 2.59

- Among the records above, which one has the highest M_tot?
  Mn3PdCl8